No. 1
Computed, not measured: an optimized crystal structure of NaInGeIr at the GGA-PBE level of DFT.

The structure in extended XYZ format:
```
4
Lattice="4.2881 0.0000 0.0000 2.1440 3.7136 0.0000 2.1440 1.2379 5.4123" Properties=species:S:1:pos:R:3 pbc="T T T"
Na 6.4321 3.7136 2.9419
In 2.1440 1.2379 4.9237
Ge 2.1440 1.2379 1.2557
Ir 4.2881 2.4757 0.7420
```

- total energy (eV per atom) = -4.538
- E_form (eV per atom) = -0.15



No. 2
Computed, not measured: an optimized crystal structure of CaMg2Tl at the GGA-PBE level of DFT.

The structure in extended XYZ format:
```
4
Lattice="4.8910 0.0000 0.0000 0.0000 3.5048 0.0182 0.0000 1.7225 6.2737" Properties=species:S:1:pos:R:3 pbc="T T T"
Mg 0.0000 0.2215 0.3101
Mg 2.4455 1.9722 1.4678
Tl 0.0000 1.9477 3.1721
Ca 2.4455 3.6996 4.4878
```

- excess energy over the best structure of this formula in the dataset (eV/atom) = 0.0544
- total energy (eV per atom) = -2.041
- E_form (eV per atom) = -0.15



No. 3
Computed, not measured: an optimized crystal structure of Li2ZrMn at the GGA-PBE level of DFT.

The structure in extended XYZ format:
```
4
Lattice="2.8347 0.0000 0.0000 0.0000 2.8347 0.0000 0.0000 0.0000 9.0985" Properties=species:S:1:pos:R:3 pbc="T T T"
Li 0.0000 0.0000 0.2320
Li 0.0000 0.0000 4.3173
Mn 1.4174 1.4174 2.2746
Zr 1.4174 1.4174 6.8239
```

- excess energy over the best structure of this formula in the dataset (eV/atom) = 0.2266
- total energy (eV per atom) = -4.972
- E_form (eV per atom) = 0.41



No. 4
Computed, not measured: an optimized crystal structure of TaRhW2 at the GGA-PBE level of DFT.

The structure in extended XYZ format:
```
4
Lattice="-1.9772 -1.3928 3.7561 -1.2785 -1.9993 -1.4143 3.6064 -3.8969 0.4534" Properties=species:S:1:pos:R:3 pbc="T T T"
Ta 0.7367 -5.1199 1.1460
Rh 1.1806 -3.0104 -0.4948
W -1.2426 -2.0247 -1.4048
W -0.4386 -2.0813 1.6540
```

- excess energy over the best structure of this formula in the dataset (eV/atom) = 0.0614
- total energy (eV per atom) = -11.312
- E_form (eV per atom) = -0.03